# Li2MnNi3O8 | Alexandria | PBE with a Hubbard U | optimized geometry
# Excess energy over the best structure of this formula in the dataset   30 meV per atom
# Density   4.5 g/cm3
# Raw total energy   -5.312 eV per atom
data_Li2MnNi3O8
_chemical_formula_sum 'Li4 Mn2 Ni6 O16'
_symmetry_space_group_name_H-M 'C 1 2/m 1'
_symmetry_Int_Tables_number 12
_symmetry_space_group_name_Hall '-C 2y'
_cell_length_a 9.955
_cell_length_b 5.729
_cell_length_c 5.903
_cell_angle_alpha 90.00
_cell_angle_beta 124.53
_cell_angle_gamma 90.00
loop_
_atom_site_label
_atom_site_fract_x
_atom_site_fract_y
_atom_site_fract_z
Li1 0.000 0.000 0.000
Li2 0.000 0.500 0.000
Mn1 0.000 0.000 0.500
Ni1 0.000 0.500 0.500
Ni2 0.250 0.250 0.500
O1 0.021 0.238 0.287
O2 0.240 0.000 0.702
O3 0.247 0.500 0.704